Ga2Ni2Au, relaxed, DFT PBE-GGA; space group = I4/mmm (139); spin magnetization = 0.0 μB per cell; polymorph energy (0 for the lowest one) = 187 meV per atom
1.0
3.670 0.000 0.000
0.000 3.670 0.000
1.835 1.835 5.503
Au Ga Ni
1 2 2
Direct
0.000 0.000 0.000
0.250 0.750 0.500
0.750 0.250 0.500
0.606 0.606 0.789
0.394 0.394 0.211